A plane-wave DFT calculation with GGA-PBE was carried out for crystalline LiSiAsSe2 at its relaxed geometry.

Values from the calculation:
Distance to the lowest polymorph of the same formula   0 meV/atom
E_form (uncorrected)   0.12 eV/atom
ρ   3.8 Mg/m³

a = 4.9987 Å, b = 4.9987 Å, c = 4.6969 Å
α = 90.00°, β = 90.00°, γ = 90.00°
Last column: nearest neighbours and their distance in Å.
Space group P4/mmm (No. 123)
Inequivalent atoms, fractional coordinates:
Li (0.0000, 0.0000, 0.0000) [1 per cell]  8 Se 3.43, 4 As 3.53
Si (0.5000, 0.5000, 0.5000) [1 per cell]  2 As 2.35, 4 Se 2.50
As (0.5000, 0.5000, 0.0000) [1 per cell]  2 Si 2.35
Se (0.0000, 0.5000, 0.5000) [2 per cell]  2 Si 2.50

***

A plane-wave DFT calculation with GGA-PBE was carried out for crystalline LiSiAs2Se at its relaxed geometry.

Values from the calculation:
Distance to the lowest polymorph of the same formula   0 meV/atom
E_form (uncorrected)   0.29 eV/atom
ρ   3.8 Mg/m³

a = 4.8041 Å, b = 4.8041 Å, c = 5.0074 Å
α = 90.00°, β = 90.00°, γ = 90.00°
Last column: nearest neighbours and their distance in Å.
Space group P4/mmm (No. 123)
Inequivalent atoms, fractional coordinates:
Li (0.0000, 0.0000, 0.0000) [1 per cell]  4 Se 3.40, 8 As 3.47
Si (0.5000, 0.5000, 0.5000) [1 per cell]  4 As 2.40, 2 Se 2.50
As (0.0000, 0.5000, 0.5000) [2 per cell]  2 Si 2.40
Se (0.5000, 0.5000, 0.0000) [1 per cell]  2 Si 2.50